1.
CaMg3In | GGA-PBE | relaxed

Unit cell a=5.424 b=5.424 c=5.424 alpha=90.00 beta=90.00 gamma=90.00
Atoms (fractional coordinates):
Ca  0.500  0.500  0.500
Mg  0.000  0.500  0.000
Mg  0.000  0.000  0.500
Mg  0.500  0.000  0.000
In  0.000  0.000  0.000

Summary:
- Energy relative to the lowest polymorph listed for this composition: 208 meV/atom
- Total magnetization: 0.000 μB per atom
- E_form: 208 meV/atom

=====

2.
ThNi4Sb | GGA-PBE | relaxed

Unit cell a=5.105 b=5.105 c=5.105 alpha=60.00 beta=60.00 gamma=60.00
Site moments in Bohr magnetons follow the coordinates.
Atoms (fractional coordinates):
Sb  0.000  0.000  0.000  0.03
Th  0.250  0.250  0.250  -0.05
Ni  0.625  0.625  0.124  0.24
Ni  0.625  0.124  0.625  0.24
Ni  0.625  0.625  0.625  0.24
Ni  0.124  0.625  0.625  0.24

Summary:
- Energy relative to the lowest polymorph listed for this composition: 17 meV/atom
- Total magnetization: 0.146 μB per atom
- Raw formation energy: -0.34 eV/atom

=====

3.
USiAu | GGA-PBE | relaxed

Unit cell a=4.175 b=4.073 c=6.833 alpha=107.34 beta=90.01 gamma=90.00
Site moments in Bohr magnetons follow the coordinates.
Atoms (fractional coordinates):
U  0.250  0.944  0.888  0.82
U  0.750  0.056  0.112  0.82
Si  0.250  0.613  0.225  -0.01
Si  0.750  0.387  0.775  -0.01
Au  0.250  0.266  0.531  0.01
Au  0.750  0.734  0.469  0.01

Summary:
- Total magnetization: 0.282 μB per atom
- Raw formation energy: -0.24 eV/atom

=====

4.
Cd2AgMo | GGA-PBE | relaxed

Unit cell a=2.851 b=2.851 c=9.140 alpha=90.00 beta=90.00 gamma=89.91
Atoms (fractional coordinates):
Ag  0.500  0.500  0.740
Cd  0.000  0.000  0.988
Cd  0.500  0.500  0.265
Mo  0.000  0.000  0.507

Summary:
- Energy relative to the lowest polymorph listed for this composition: 59 meV/atom
- Total magnetization: 0.000 μB per atom
- E_form: 289 meV/atom

=====

5.
BeNi4 | GGA-PBE | relaxed

Unit cell a=6.311 b=6.311 c=6.311 alpha=150.97 beta=150.97 gamma=41.52
Site moments in Bohr magnetons follow the coordinates.
Atoms (fractional coordinates):
Be  0.000  0.000  0.000  -0.02
Ni  0.750  0.250  0.500  0.60
Ni  0.250  0.750  0.500  0.60
Ni  0.595  0.595  0.000  0.52
Ni  0.405  0.405  0.000  0.52

Summary:
- Energy relative to the lowest polymorph listed for this composition: 502 meV/atom
- Total magnetization: 0.431 μB per atom
- E_form: 369 meV/atom

=====

6.
TlCdF3 | GGA-PBE | relaxed

Unit cell a=3.467 b=6.919 c=6.919 alpha=116.52 beta=90.00 gamma=90.00
Atoms (fractional coordinates):
Tl  0.500  0.072  0.928
F  0.500  0.268  0.358
F  0.500  0.642  0.732
F  0.000  0.230  0.770
Cd  0.000  0.416  0.584

Summary:
- Total magnetization: 0.000 μB per atom
- Raw formation energy: -1.94 eV/atom

=====

7.
TlGaRhF6 | GGA-PBE | relaxed

Unit cell a=5.479 b=5.621 c=6.029 alpha=90.69 beta=90.36 gamma=59.14
Site moments in Bohr magnetons follow the coordinates.
Atoms (fractional coordinates):
Tl  0.009  0.996  0.000  0.00
Ga  0.345  0.328  0.500  0.00
Rh  0.675  0.662  0.500  0.77
F  0.023  0.357  0.327  0.00
F  0.360  0.018  0.665  0.00
F  0.603  0.339  0.701  0.04
F  0.023  0.621  0.673  0.00
F  0.360  0.621  0.335  0.00
F  0.603  0.058  0.299  0.04

Summary:
- Total magnetization: 0.102 μB per atom
- Raw formation energy: -1.94 eV/atom

=====

8.
LiTb2YTe5 | GGA-PBE | relaxed

Unit cell a=4.332 b=9.486 c=13.190 alpha=90.00 beta=90.00 gamma=103.20
Atoms (fractional coordinates):
Li  0.557  0.113  0.964
Li  0.443  0.887  0.464
Tb  0.873  0.746  0.799
Tb  0.106  0.211  0.684
Tb  0.127  0.254  0.299
Tb  0.894  0.789  0.184
Y  0.803  0.606  0.509
Y  0.197  0.394  0.009
Te  0.363  0.726  0.999
Te  0.688  0.376  0.843
Te  0.498  0.995  0.783
Te  0.282  0.564  0.670
Te  0.954  0.908  0.575
Te  0.637  0.274  0.499
Te  0.312  0.624  0.343
Te  0.502  0.005  0.283
Te  0.718  0.436  0.170
Te  0.046  0.092  0.075

Summary:
- Total magnetization: 0.000 μB per atom
- Raw formation energy: -1.25 eV/atom